Compound: TaVSbI2
Source: Alexandria via LeMat-Bulk
Functional: PBE-GGA
Structure: optimized geometry

```
data_TaVSbI2
_cell_length_a 5.484
_cell_length_b 5.484
_cell_length_c 5.516
_cell_angle_alpha 90.00
_cell_angle_beta 90.00
_cell_angle_gamma 90.00
_symmetry_space_group_name_H-M 'P 1'
_symmetry_Int_Tables_number 1
_symmetry_space_group_name_Hall 'P 1'
loop_
_atom_site_label
_atom_site_fract_x
_atom_site_fract_y
_atom_site_fract_z
I1 0.000 0.500 0.000
I2 0.500 0.000 0.000
Sb1 0.000 0.000 0.500
V1 0.500 0.500 0.500
Ta1 0.000 0.000 0.000
```

## Properties
For the final energy, the calculation gives -4.675 eV per atom. The value obtained for the calculated density is 6081 kg/m3. The value obtained for the density of states at the Fermi level is 1.46 states/eV per atom. The calculation puts the formation energy from raw total energies at 4.8 eV per formula unit.

***

Compound: TaSb2WI
Source: Alexandria via LeMat-Bulk
Functional: PBE-GGA
Structure: optimized geometry

```
data_TaSb2WI
_cell_length_a 5.408
_cell_length_b 5.408
_cell_length_c 5.355
_cell_angle_alpha 90.00
_cell_angle_beta 90.00
_cell_angle_gamma 90.00
_symmetry_space_group_name_H-M 'P 1'
_symmetry_Int_Tables_number 1
_symmetry_space_group_name_Hall 'P 1'
loop_
_atom_site_label
_atom_site_fract_x
_atom_site_fract_y
_atom_site_fract_z
I1 0.000 0.000 0.500
Sb1 0.000 0.500 0.000
Sb2 0.500 0.000 0.000
W1 0.500 0.500 0.500
Ta1 0.000 0.000 0.000
```

## Properties
For the final energy, the calculation gives -5.354 eV per atom. The value obtained for the calculated density is 7795 kg/m3. The value obtained for the density of states at the Fermi level is 0.54 states/eV per atom. The calculation puts the formation energy from raw total energies at 7.8 eV per formula unit.

***

Compound: TaSbWI2
Source: Alexandria via LeMat-Bulk
Functional: PBE-GGA
Structure: optimized geometry

```
data_TaSbWI2
_cell_length_a 5.401
_cell_length_b 5.401
_cell_length_c 5.595
_cell_angle_alpha 90.00
_cell_angle_beta 90.00
_cell_angle_gamma 90.00
_symmetry_space_group_name_H-M 'P 1'
_symmetry_Int_Tables_number 1
_symmetry_space_group_name_Hall 'P 1'
loop_
_atom_site_label
_atom_site_fract_x
_atom_site_fract_y
_atom_site_fract_z
I1 0.000 0.500 0.000
I2 0.500 0.000 0.000
Sb1 0.000 0.000 0.500
W1 0.500 0.500 0.500
Ta1 0.000 0.000 0.000
```

## Properties
For the final energy, the calculation gives -4.822 eV per atom. The value obtained for the calculated density is 7531 kg/m3. The value obtained for the density of states at the Fermi level is 0.54 states/eV per atom. The calculation puts the formation energy from raw total energies at 7.9 eV per formula unit.

***

Compound: YTaSbI2
Source: Alexandria via LeMat-Bulk
Functional: PBE-GGA
Structure: optimized geometry

```
data_YTaSbI2
_cell_length_a 5.742
_cell_length_b 5.742
_cell_length_c 6.144
_cell_angle_alpha 90.00
_cell_angle_beta 90.00
_cell_angle_gamma 90.00
_symmetry_space_group_name_H-M 'P 1'
_symmetry_Int_Tables_number 1
_symmetry_space_group_name_Hall 'P 1'
loop_
_atom_site_label
_atom_site_fract_x
_atom_site_fract_y
_atom_site_fract_z
I1 0.000 0.500 0.000
I2 0.500 0.000 0.000
Sb1 0.000 0.000 0.500
Y1 0.000 0.000 0.000
Ta1 0.500 0.500 0.500
```

## Properties
For the final energy, the calculation gives -4.319 eV per atom. The value obtained for the calculated density is 5291 kg/m3. The value obtained for the density of states at the Fermi level is 1.61 states/eV per atom. The calculation puts the formation energy from raw total energies at 3.9 eV per formula unit.

***

Compound: YTaSbI2
Source: Alexandria via LeMat-Bulk
Functional: PBE-GGA
Structure: optimized geometry

```
data_YTaSbI2
_cell_length_a 5.446
_cell_length_b 5.446
_cell_length_c 5.549
_cell_angle_alpha 90.00
_cell_angle_beta 90.00
_cell_angle_gamma 90.00
_symmetry_space_group_name_H-M 'P 1'
_symmetry_Int_Tables_number 1
_symmetry_space_group_name_Hall 'P 1'
loop_
_atom_site_label
_atom_site_fract_x
_atom_site_fract_y
_atom_site_fract_z
I1 0.000 0.500 0.000
I2 0.500 0.000 0.000
Sb1 0.000 0.000 0.500
Y1 0.500 0.500 0.500
Ta1 0.000 0.000 0.000
```

## Properties
For the final energy, the calculation gives -4.728 eV per atom. The value obtained for the calculated density is 6512 kg/m3. The value obtained for the density of states at the Fermi level is 1.09 states/eV per atom. The calculation puts the formation energy from raw total energies at 1.9 eV per formula unit.

***

Compound: TaZnSb2I
Source: Alexandria via LeMat-Bulk
Functional: PBE-GGA
Structure: optimized geometry

```
data_TaZnSb2I
_cell_length_a 5.069
_cell_length_b 5.069
_cell_length_c 5.488
_cell_angle_alpha 90.00
_cell_angle_beta 90.00
_cell_angle_gamma 90.00
_symmetry_space_group_name_H-M 'P 1'
_symmetry_Int_Tables_number 1
_symmetry_space_group_name_Hall 'P 1'
loop_
_atom_site_label
_atom_site_fract_x
_atom_site_fract_y
_atom_site_fract_z
I1 0.000 0.000 0.500
Sb1 0.000 0.500 0.000
Sb2 0.500 0.000 0.000
Zn1 0.000 0.000 0.000
Ta1 0.500 0.500 0.500
```

## Properties
For the final energy, the calculation gives -3.374 eV per atom. The value obtained for the calculated density is 7263 kg/m3. The value obtained for the density of states at the Fermi level is 1.29 states/eV per atom. The calculation puts the formation energy from raw total energies at 6.1 eV per formula unit.

***

Compound: TaZnSbI2
Source: Alexandria via LeMat-Bulk
Functional: PBE-GGA
Structure: optimized geometry

```
data_TaZnSbI2
_cell_length_a 5.582
_cell_length_b 5.582
_cell_length_c 5.447
_cell_angle_alpha 90.00
_cell_angle_beta 90.00
_cell_angle_gamma 90.00
_symmetry_space_group_name_H-M 'P 1'
_symmetry_Int_Tables_number 1
_symmetry_space_group_name_Hall 'P 1'
loop_
_atom_site_label
_atom_site_fract_x
_atom_site_fract_y
_atom_site_fract_z
I1 0.000 0.500 0.000
I2 0.500 0.000 0.000
Sb1 0.000 0.000 0.500
Zn1 0.500 0.500 0.500
Ta1 0.000 0.000 0.000
```

## Properties
For the final energy, the calculation gives -3.662 eV per atom. The value obtained for the calculated density is 6085 kg/m3. The value obtained for the density of states at the Fermi level is 0.57 states/eV per atom. The calculation puts the formation energy from raw total energies at 2.0 eV per formula unit.

***

Compound: TaZnSbI2
Source: Alexandria via LeMat-Bulk
Functional: PBE-GGA
Structure: optimized geometry

```
data_TaZnSbI2
_cell_length_a 5.325
_cell_length_b 5.325
_cell_length_c 5.302
_cell_angle_alpha 90.00
_cell_angle_beta 90.00
_cell_angle_gamma 90.00
_symmetry_space_group_name_H-M 'P 1'
_symmetry_Int_Tables_number 1
_symmetry_space_group_name_Hall 'P 1'
loop_
_atom_site_label
_atom_site_fract_x
_atom_site_fract_y
_atom_site_fract_z
I1 0.000 0.500 0.000
I2 0.500 0.000 0.000
Sb1 0.000 0.000 0.500
Zn1 0.000 0.000 0.000
Ta1 0.500 0.500 0.500
```

## Properties
For the final energy, the calculation gives -2.904 eV per atom. The value obtained for the calculated density is 6868 kg/m3. The value obtained for the density of states at the Fermi level is 0.92 states/eV per atom. The calculation puts the formation energy from raw total energies at 5.8 eV per formula unit.

***

Compound: TaZnSb2I
Source: Alexandria via LeMat-Bulk
Functional: PBE-GGA
Structure: optimized geometry

```
data_TaZnSb2I
_cell_length_a 5.353
_cell_length_b 5.353
_cell_length_c 5.760
_cell_angle_alpha 90.00
_cell_angle_beta 90.00
_cell_angle_gamma 90.00
_symmetry_space_group_name_H-M 'P 1'
_symmetry_Int_Tables_number 1
_symmetry_space_group_name_Hall 'P 1'
loop_
_atom_site_label
_atom_site_fract_x
_atom_site_fract_y
_atom_site_fract_z
I1 0.000 0.000 0.500
Sb1 0.000 0.500 0.000
Sb2 0.500 0.000 0.000
Zn1 0.500 0.500 0.500
Ta1 0.000 0.000 0.000
```

## Properties
For the final energy, the calculation gives -4.111 eV per atom. The value obtained for the calculated density is 6204 kg/m3. The value obtained for the density of states at the Fermi level is 0.69 states/eV per atom. The calculation puts the formation energy from raw total energies at 2.4 eV per formula unit.

***

Compound: ZrTaSbI2
Source: Alexandria via LeMat-Bulk
Functional: PBE-GGA
Structure: optimized geometry

```
data_ZrTaSbI2
_cell_length_a 5.427
_cell_length_b 5.427
_cell_length_c 5.503
_cell_angle_alpha 90.00
_cell_angle_beta 90.00
_cell_angle_gamma 90.00
_symmetry_space_group_name_H-M 'P 1'
_symmetry_Int_Tables_number 1
_symmetry_space_group_name_Hall 'P 1'
loop_
_atom_site_label
_atom_site_fract_x
_atom_site_fract_y
_atom_site_fract_z
I1 0.000 0.500 0.000
I2 0.500 0.000 0.000
Sb1 0.000 0.000 0.500
Zr1 0.500 0.500 0.500
Ta1 0.000 0.000 0.000
```

## Properties
For the final energy, the calculation gives -4.647 eV per atom. The value obtained for the calculated density is 6637 kg/m3. The value obtained for the density of states at the Fermi level is 1.44 states/eV per atom. The calculation puts the formation energy from raw total energies at 4.4 eV per formula unit.

***

The following polymorph energy (0 for the lowest one) values (in eV/atom) correspond, in order, to the records above: 0.000; 0.000; 0.000; 0.409; 0.000; 0.738; 0.000; 0.758; 0.000; 0.000.